Dy4AlTl: relaxed, PBE.

## Properties
E above lowest polymorph in meV per atom: 187
V in Å³/atom: 31.46
Total energy in eV per atom: -4.12
Energy of formation from the pure elements in eV/atom: -0.038

```
6
Lattice="2.548 1.471 8.390 -2.548 1.471 8.390 0.000 -2.943 8.390" Properties=species:S:1:pos:R:3 pbc="T T T"
Dy 0.000 0.000 3.044
Dy 0.000 0.000 9.346
Dy 0.000 0.000 15.824
Dy 0.000 0.000 22.127
Al 0.000 0.000 0.000
Tl 0.000 0.000 12.585
```